Entry 1:
Computed, not measured: a geometry-optimized P3Ru structure at the GGA-PBE level of DFT.

Results
**DFT total energy**: -76.72 eV/cell
**ΔE to the lowest computed polymorph**: 506 meV per atom
**Density**: 5.79 g cm⁻³

Unit cell a=3.1939 b=3.1939 c=18.8890 alpha=90.00 beta=90.00 gamma=120.00
With the nearest neighbours (Å) after each atom.
Space group R-3m (No. 166, hexagonal axes)
Inequivalent atoms, fractional coordinates:
P (0.0000, 0.0000, 0.0000) [3 per cell]  6 P 2.36
P (0.0000, 0.0000, 0.2549) [6 per cell]  3 P 2.36, 3 Ru 2.49
Ru (0.0000, 0.0000, 0.5000) [3 per cell]  6 P 2.49


Entry 2:
Computed, not measured: a geometry-optimized PRu2 structure at the GGA-PBE level of DFT.

Results
**DFT total energy**: -98.04 eV/cell
**Density**: 9.62 g cm⁻³

Unit cell a=2.8548 b=12.6969 c=4.4385 alpha=90.00 beta=90.00 gamma=90.00
With the nearest neighbours (Å) after each atom.
Space group Cmcm (No. 63)
Inequivalent atoms, fractional coordinates:
P (0.0000, 0.2090, 0.2500) [4 per cell]  6 Ru 2.39-2.44
Ru (0.0000, 0.1349, 0.7500) [4 per cell]  4 P 2.41-2.44
Ru (0.0000, 0.4422, 0.7500) [4 per cell]  2 P 2.39, 2 Ru 2.66


Entry 3:
Computed, not measured: a geometry-optimized P2Ru structure at the GGA-PBE level of DFT.

Results
**DFT total energy**: -20.60 eV/cell
**Density**: 6.58 g cm⁻³

Unit cell a=3.0961 b=3.0961 c=4.9525 alpha=90.00 beta=90.00 gamma=120.00
With the nearest neighbours (Å) after each atom.
Space group P-3m1 (No. 164)
Inequivalent atoms, fractional coordinates:
P (0.3333, 0.6667, 0.3358) [2 per cell]  3 P 2.42, 3 Ru 2.44
Ru (0.0000, 0.0000, 0.0000) [1 per cell]  6 P 2.44


Entry 4:
Computed, not measured: a geometry-optimized P2Ru structure at the GGA-PBE level of DFT.

Results
**DFT total energy**: -40.38 eV/cell
**Density**: 6.08 g cm⁻³

Unit cell a=2.8483 b=2.8952 c=10.8027 alpha=90.00 beta=90.00 gamma=90.00
With the nearest neighbours (Å) after each atom.
Space group Imm2 (No. 44)
Inequivalent atoms, fractional coordinates:
P (0.0000, 0.0000, 0.0000) [2 per cell]  2 Ru 2.41, 2 P 2.61
P (0.0000, 0.5000, 0.2009) [2 per cell]  4 Ru 2.42, 2 P 2.61
Ru (0.0000, 0.5000, 0.8219) [2 per cell]  6 P 2.41-2.42


no.,DFT formation energy (eV/atom)
1,-0.0173
2,-0.1828
3,-0.1683
4,-0.0314